Record 1
Below is Pr6Al2Pb after structural relaxation, with properties calculated at the PBE level.

Lattice parameters (Å, degrees): 9.093 9.093 9.093 113.14 112.08 103.37
Element x y z (fractional)
Pr: 0.030 0.821 0.209
Pr: 0.239 0.535 0.296
Pr: 0.239 0.942 0.704
Pr: 0.282 0.309 0.591
Pr: 0.282 0.691 0.973
Pr: 0.389 0.179 0.209
Pr: 0.611 0.821 0.791
Pr: 0.718 0.309 0.027
Pr: 0.718 0.691 0.409
Pr: 0.761 0.058 0.296
Pr: 0.761 0.465 0.704
Pr: 0.970 0.179 0.791
Al: 0.000 0.137 0.137
Al: 0.000 0.863 0.863
Al: 0.382 0.382 0.000
Al: 0.618 0.618 0.000
Pb: 0.000 0.500 0.500
Pb: 0.500 0.000 0.500

Properties
Symmetry   Immm (71)
Magnetic moment   0.00 μB/f.u.
Formation enthalpy at 0 K   -2.55 eV per formula unit


Record 2
Below is Mg2FeSe after structural relaxation, with properties calculated at the PBE level.

Lattice parameters (Å, degrees): 8.420 8.420 8.420 22.28 22.28 22.28
Element x y z (fractional)
Mg: 0.248 0.248 0.248
Mg: 0.752 0.752 0.752
Fe: 0.000 0.000 0.000
Se: 0.500 0.500 0.500

Properties
Symmetry   R-3m (166)
Magnetic moment   2.48 μB/f.u.
ΔE_f (raw)   0.03 eV/atom


Record 3
Below is La2PmTcN4 after structural relaxation, with properties calculated at the PBE level.

Lattice parameters (Å, degrees): 6.351 6.351 12.352 90.00 90.00 147.58
Element x y z (fractional)
La: 0.132 0.868 0.540
La: 0.132 0.868 0.960
La: 0.868 0.132 0.040
La: 0.868 0.132 0.460
Pm: 0.373 0.627 0.750
Pm: 0.627 0.373 0.250
Tc: 0.353 0.647 0.250
Tc: 0.647 0.353 0.750
N: 0.074 0.926 0.750
N: 0.229 0.771 0.140
N: 0.229 0.771 0.360
N: 0.500 0.500 0.000
N: 0.500 0.500 0.500
N: 0.771 0.229 0.640
N: 0.771 0.229 0.860
N: 0.926 0.074 0.250

Properties
Symmetry   Cmcm (63)
Magnetic moment   0.00 μB/f.u.
ΔE_f (raw)   -0.89 eV/atom


Record 4
Below is Pm2TlSn4 after structural relaxation, with properties calculated at the PBE level.

Lattice parameters (Å, degrees): 6.687 6.665 6.544 60.82 60.49 58.69
Element x y z (fractional)
Pm: 0.000 0.000 0.500
Pm: 0.500 0.500 0.000
Tl: 0.000 0.000 0.000
Sn: 0.000 0.500 0.000
Sn: 0.000 0.500 0.500
Sn: 0.500 0.000 0.000
Sn: 0.500 0.000 0.500

Properties
Symmetry   Fmmm (69)
Magnetic moment   0.00 μB/f.u.
Formation enthalpy at 0 K   -2.95 eV per formula unit


Record 5
Below is Li2CaCdF6 after structural relaxation, with properties calculated at the PBE level.

Lattice parameters (Å, degrees): 5.750 5.750 5.750 56.97 56.97 56.97
Element x y z (fractional)
Li: 0.000 0.000 0.000
Li: 0.498 0.498 0.498
Ca: 0.783 0.783 0.783
Cd: 0.283 0.283 0.283
F: 0.121 0.718 0.350
F: 0.216 0.617 0.854
F: 0.350 0.121 0.718
F: 0.617 0.854 0.216
F: 0.718 0.350 0.121
F: 0.854 0.216 0.617

Properties
Symmetry   R3 (146)
Magnetic moment   0.00 μB/f.u.
ΔE_f (raw)   -2.98 eV/atom


Record 6
Below is YCd3As after structural relaxation, with properties calculated at the PBE level.

Lattice parameters (Å, degrees): 5.226 5.226 5.226 90.00 90.00 90.00
Element x y z (fractional)
Y: 0.000 0.000 0.000
Cd: 0.000 0.500 0.500
Cd: 0.500 0.000 0.500
Cd: 0.500 0.500 0.000
As: 0.500 0.500 0.500

Properties
Symmetry   Pm-3m (221)
ΔE to the lowest computed polymorph   0 meV per atom
Magnetic moment   0.00 μB/f.u.
Formation enthalpy at 0 K   1.48 eV per formula unit


Record 7
Below is CdPRu2 after structural relaxation, with properties calculated at the PBE level.

Lattice parameters (Å, degrees): 4.952 4.952 4.952 134.64 134.64 66.09
Element x y z (fractional)
Cd: 0.000 0.000 0.000
P: 0.250 0.750 0.500
Ru: 0.500 0.500 0.000
Ru: 0.750 0.250 0.500

Properties
Symmetry   I-4m2 (119)
ΔE to the lowest computed polymorph   618 meV per atom
Magnetic moment   0.20 μB/f.u.
Formation enthalpy at 0 K   1.96 eV per formula unit


Record 8
Below is La3Ho4In4 after structural relaxation, with properties calculated at the PBE level.

Lattice parameters (Å, degrees): 9.764 9.764 9.764 149.25 133.08 57.15
Element x y z (fractional)
La: 0.000 0.000 0.000
La: 0.389 0.889 0.500
La: 0.611 0.111 0.500
Ho: 0.041 0.325 0.716
Ho: 0.391 0.675 0.716
Ho: 0.609 0.325 0.284
Ho: 0.959 0.675 0.284
In: 0.197 0.197 0.000
In: 0.307 0.500 0.807
In: 0.693 0.500 0.193
In: 0.803 0.803 0.000

Properties
Symmetry   Immm (71)
Magnetic moment   0.00 μB/f.u.
Formation enthalpy at 0 K   -3.37 eV per formula unit


Record 9
Below is HoNi5Pb after structural relaxation, with properties calculated at the PBE level.

Lattice parameters (Å, degrees): 8.131 4.895 10.391 90.00 90.00 90.00
Element x y z (fractional)
Ho: 0.244 0.250 0.063
Ho: 0.256 0.750 0.563
Ho: 0.744 0.250 0.437
Ho: 0.756 0.750 0.937
Ni: 0.051 0.250 0.607
Ni: 0.068 0.002 0.813
Ni: 0.068 0.498 0.813
Ni: 0.079 0.750 0.017
Ni: 0.187 0.750 0.238
Ni: 0.313 0.250 0.738
Ni: 0.421 0.250 0.517
Ni: 0.432 0.502 0.313
Ni: 0.432 0.998 0.313
Ni: 0.449 0.750 0.107
Ni: 0.551 0.250 0.893
Ni: 0.568 0.002 0.687
Ni: 0.568 0.498 0.687
Ni: 0.579 0.750 0.483
Ni: 0.687 0.750 0.262
Ni: 0.813 0.250 0.762
Ni: 0.921 0.250 0.983
Ni: 0.932 0.502 0.187
Ni: 0.932 0.998 0.187
Ni: 0.949 0.750 0.393
Pb: 0.137 0.250 0.365
Pb: 0.363 0.750 0.865
Pb: 0.637 0.250 0.135
Pb: 0.863 0.750 0.635

Properties
Symmetry   Pnma (62)
Magnetic moment   0.00 μB/f.u.
Formation enthalpy at 0 K   -1.62 eV per formula unit


Record 10
Below is BaCa4Pb15 after structural relaxation, with properties calculated at the PBE level.

Lattice parameters (Å, degrees): 5.019 5.019 24.535 90.00 90.00 90.00
Element x y z (fractional)
Ba: 0.000 0.000 0.000
Ca: 0.000 0.000 0.205
Ca: 0.000 0.000 0.402
Ca: 0.000 0.000 0.598
Ca: 0.000 0.000 0.795
Pb: 0.000 0.500 0.108
Pb: 0.000 0.500 0.303
Pb: 0.000 0.500 0.500
Pb: 0.000 0.500 0.697
Pb: 0.000 0.500 0.892
Pb: 0.500 0.000 0.108
Pb: 0.500 0.000 0.303
Pb: 0.500 0.000 0.500
Pb: 0.500 0.000 0.697
Pb: 0.500 0.000 0.892
Pb: 0.500 0.500 0.000
Pb: 0.500 0.500 0.204
Pb: 0.500 0.500 0.401
Pb: 0.500 0.500 0.599
Pb: 0.500 0.500 0.796

Properties
Symmetry   P4/mmm (123)
Magnetic moment   0.00 μB/f.u.
Formation enthalpy at 0 K   -6.43 eV per formula unit


Record 11
Below is Tm5In2PdRu2 after structural relaxation, with properties calculated at the PBE level.

Lattice parameters (Å, degrees): 11.611 11.611 3.460 90.00 90.00 90.00
Element x y z (fractional)
Tm: 0.000 0.500 0.000
Tm: 0.065 0.200 0.000
Tm: 0.200 0.935 0.000
Tm: 0.300 0.435 0.000
Tm: 0.435 0.700 0.000
Tm: 0.500 0.000 0.000
Tm: 0.565 0.300 0.000
Tm: 0.700 0.565 0.000
Tm: 0.800 0.065 0.000
Tm: 0.935 0.800 0.000
In: 0.180 0.680 0.500
In: 0.320 0.180 0.500
In: 0.680 0.820 0.500
In: 0.820 0.320 0.500
Pd: 0.000 0.000 0.500
Pd: 0.500 0.500 0.500
Ru: 0.135 0.365 0.500
Ru: 0.365 0.865 0.500
Ru: 0.635 0.135 0.500
Ru: 0.865 0.635 0.500

Properties
Symmetry   P4/mbm (127)
Magnetic moment   0.00 μB/f.u.
Formation enthalpy at 0 K   -4.80 eV per formula unit


Record 12
Below is K2TlCr after structural relaxation, with properties calculated at the PBE level.

Lattice parameters (Å, degrees): 6.965 6.965 6.965 144.36 128.01 64.62
Element x y z (fractional)
K: 0.000 0.000 0.000
K: 0.702 0.202 0.500
Tl: 0.270 0.770 0.500
Cr: 0.427 0.427 0.000

Properties
Symmetry   Imm2 (44)
ΔE to the lowest computed polymorph   50 meV per atom
Magnetic moment   4.55 μB/f.u.
Formation enthalpy at 0 K   1.89 eV per formula unit


Record 13
Below is SmZn6Cu6 after structural relaxation, with properties calculated at the PBE level.

Lattice parameters (Å, degrees): 6.689 6.689 6.689 136.69 98.52 97.14
Element x y z (fractional)
Sm: 0.000 0.000 0.000
Zn: 0.208 0.708 0.500
Zn: 0.349 0.000 0.349
Zn: 0.352 0.352 0.000
Zn: 0.648 0.648 0.000
Zn: 0.651 0.000 0.651
Zn: 0.792 0.292 0.500
Cu: 0.000 0.000 0.500
Cu: 0.000 0.500 0.000
Cu: 0.227 0.500 0.727
Cu: 0.500 0.000 0.000
Cu: 0.500 0.500 0.500
Cu: 0.773 0.500 0.273

Properties
Symmetry   Immm (71)
Magnetic moment   0.00 μB/f.u.
Formation enthalpy at 0 K   -2.24 eV per formula unit


Record 14
Below is BaSc2In after structural relaxation, with properties calculated at the PBE level.

Lattice parameters (Å, degrees): 3.706 3.706 8.969 90.00 90.00 90.00
Element x y z (fractional)
Ba: 0.000 0.000 0.000
Sc: 0.000 0.000 0.462
Sc: 0.500 0.500 0.663
In: 0.500 0.500 0.286

Properties
Symmetry   P4mm (99)
Magnetic moment   1.09 μB/f.u.
Formation enthalpy at 0 K   -0.27 eV per formula unit


Record 15
Below is Pm2HfTl3Se6 after structural relaxation, with properties calculated at the PBE level.

Lattice parameters (Å, degrees): 7.161 7.161 8.193 98.41 98.41 119.92
Element x y z (fractional)
Pm: 0.166 0.834 0.000
Pm: 0.834 0.166 0.000
Hf: 0.500 0.500 0.000
Tl: 0.000 0.000 0.500
Tl: 0.327 0.673 0.500
Tl: 0.673 0.327 0.500
Se: 0.124 0.432 0.796
Se: 0.263 0.263 0.210
Se: 0.432 0.124 0.796
Se: 0.568 0.876 0.204
Se: 0.737 0.737 0.790
Se: 0.876 0.568 0.204

Properties
Symmetry   C2/m (12)
Magnetic moment   0.00 μB/f.u.
ΔE_f (raw)   -1.20 eV/atom


Record 16
Below is Ti6Si2O after structural relaxation, with properties calculated at the PBE level.

Lattice parameters (Å, degrees): 5.290 6.349 9.453 90.00 122.94 90.00
Element x y z (fractional)
Ti: 0.121 0.172 0.461
Ti: 0.121 0.328 0.961
Ti: 0.307 0.697 0.456
Ti: 0.307 0.803 0.956
Ti: 0.347 0.017 0.238
Ti: 0.347 0.483 0.738
Ti: 0.653 0.517 0.262
Ti: 0.653 0.983 0.762
Ti: 0.693 0.197 0.044
Ti: 0.693 0.303 0.544
Ti: 0.879 0.672 0.039
Ti: 0.879 0.828 0.539
Si: 0.184 0.109 0.754
Si: 0.184 0.391 0.254
Si: 0.816 0.609 0.746
Si: 0.816 0.891 0.246
O: 0.500 0.000 0.500
O: 0.500 0.500 0.000

Properties
Symmetry   P2_1/c (14)
Magnetic moment   0.00 μB/f.u.
ΔE_f (raw)   -0.99 eV/atom


Record 17
Below is Ca12TlPd6 after structural relaxation, with properties calculated at the PBE level.

Lattice parameters (Å, degrees): 8.951 8.951 8.951 109.47 109.47 109.47
Element x y z (fractional)
Ca: 0.124 0.820 0.304
Ca: 0.180 0.304 0.485
Ca: 0.180 0.696 0.876
Ca: 0.304 0.124 0.820
Ca: 0.304 0.485 0.180
Ca: 0.485 0.180 0.304
Ca: 0.515 0.820 0.696
Ca: 0.696 0.515 0.820
Ca: 0.696 0.876 0.180
Ca: 0.820 0.304 0.124
Ca: 0.820 0.696 0.515
Ca: 0.876 0.180 0.696
Tl: 0.000 0.000 0.000
Pd: 0.130 0.630 0.500
Pd: 0.370 0.500 0.870
Pd: 0.500 0.130 0.630
Pd: 0.500 0.870 0.370
Pd: 0.630 0.500 0.130
Pd: 0.870 0.370 0.500

Properties
Symmetry   Im-3 (204)
Magnetic moment   0.00 μB/f.u.
Formation enthalpy at 0 K   -9.28 eV per formula unit


Record 18
Below is CaFeAs2 after structural relaxation, with properties calculated at the PBE level.

Lattice parameters (Å, degrees): 5.615 5.615 5.615 138.53 138.53 60.09
Element x y z (fractional)
Ca: 0.000 0.000 0.000
Fe: 0.250 0.750 0.500
As: 0.500 0.500 0.000
As: 0.750 0.250 0.500

Properties
Symmetry   I-4m2 (119)
ΔE to the lowest computed polymorph   392 meV per atom
Magnetic moment   3.07 μB/f.u.
Formation enthalpy at 0 K   -0.31 eV per formula unit


Record 19
Below is Cd3RuW after structural relaxation, with properties calculated at the PBE level.

Lattice parameters (Å, degrees): 5.075 5.075 5.075 90.00 90.00 90.00
Element x y z (fractional)
Cd: 0.000 0.000 0.500
Cd: 0.000 0.500 0.000
Cd: 0.500 0.000 0.000
Ru: 0.000 0.000 0.000
W: 0.500 0.500 0.500

Properties
Symmetry   Pm-3m (221)
ΔE to the lowest computed polymorph   0 meV per atom
Magnetic moment   4.72 μB/f.u.
Formation enthalpy at 0 K   8.37 eV per formula unit


Record 20
Below is YBe2Ni after structural relaxation, with properties calculated at the PBE level.

Lattice parameters (Å, degrees): 3.553 5.536 5.536 31.96 90.00 90.00
Element x y z (fractional)
Y: 0.000 0.000 0.000
Be: 0.000 0.742 0.742
Be: 0.500 0.646 0.646
Ni: 0.500 0.295 0.295

Properties
Symmetry   Amm2 (38)
ΔE to the lowest computed polymorph   255 meV per atom
Magnetic moment   0.00 μB/f.u.
Formation enthalpy at 0 K   -0.08 eV per formula unit


no.,energy (eV per atom)
1,-4.71
2,-3.75
3,-8.18
4,-4.40
5,-4.78
6,-2.48
7,-5.73
8,-4.31
9,-5.54
10,-3.60
11,-5.64
12,-3.07
13,-3.01
14,-4.40
15,-5.16
16,-8.01
17,-3.52
18,-5.02
19,-3.32
20,-4.94